Here is crystalline Os2PbF at its relaxed geometry from Alexandria. Energies are from PBE.

Values from the calculation:
energy	-6.70	eV per atom
spin magnetization	0.0	μB per cell
polymorph energy (0 for the lowest one)	0	meV per atom
formation energy from raw total energies	0.31	eV/atom

Geometry as CIF:
```
data_Os2PbF
_symmetry_space_group_name_H-M 'P 1'
_symmetry_Int_Tables_number 1
_cell_length_a 3.537
_cell_length_b 3.537
_cell_length_c 12.433
_cell_angle_alpha 81.82
_cell_angle_beta 81.82
_cell_angle_gamma 90.00
loop_
_symmetry_equiv_pos_as_xyz
'x,y,z'
loop_
_atom_site_label
_atom_site_type_symbol
_atom_site_fract_x
_atom_site_fract_y
_atom_site_fract_z
Pb1 Pb 0.000 0.000 0.000
Pb2 Pb 0.750 0.250 0.500
Os1 Os 0.122 0.125 0.250
Os2 Os 0.628 0.625 0.250
Os3 Os 0.375 0.878 0.750
Os4 Os 0.875 0.372 0.750
F1 F 0.500 0.500 0.000
F2 F 0.250 0.750 0.500
```